(1)
A geometry-optimized Li3Al3Pd2 structure, computed with PBE.

Output
total DFT energy (no corrections)	-4.019	eV/atom
E_form	-0.600	eV per atom
ρ	4.57	g/cm³

Cell: 4.3174 4.3174 7.5064 Å, 73.29 73.29 60.00°
Fractional positions:
Li (0.2522, 0.2522, 0.2433)
Li (0.7479, 0.7479, 0.7564)
Li (0.6231, 0.6231, 0.1308)
Al (0.1264, 0.1264, 0.6207)
Al (0.8754, 0.8754, 0.3738)
Al (0.3750, 0.3750, 0.8751)
Pd (0.0032, 0.0032, 0.9903)
Pd (0.4969, 0.4969, 0.5094)

(2)
A geometry-optimized LiAl3Pd4 structure, computed with PBE.

Output
total DFT energy (no corrections)	-5.091	eV/atom
E_form	-0.852	eV per atom
ρ	7.51	g/cm³

Cell: 4.3099 4.3099 6.8360 Å, 108.44 108.37 90.00°
Fractional positions:
Al (0.0000, 0.5000, 0.0000)
Al (0.7473, 0.2473, 0.4946)
Al (0.2527, 0.7527, 0.5054)
Pd (0.3733, 0.3731, 0.7466)
Pd (0.6267, 0.6269, 0.2534)
Pd (0.1267, 0.1270, 0.2534)
Pd (0.8733, 0.8730, 0.7466)
Li (0.5000, 0.0000, 0.0000)

(3)
A geometry-optimized LiAl2Pd6 structure, computed with PBE.

Output
total DFT energy (no corrections)	-4.980	eV/atom
E_form	-0.474	eV per atom
ρ	8.00	g/cm³

Cell: 4.1266 5.7801 7.0383 Å, 114.24 106.85 90.00°
Fractional positions:
Li (0.0000, 0.0000, 0.0000)
Al (0.6653, 0.6653, 0.3305)
Al (0.3347, 0.3347, 0.6695)
Pd (0.1669, 0.4177, 0.3337)
Pd (0.8331, 0.0840, 0.6663)
Pd (0.8331, 0.5823, 0.6663)
Pd (0.5000, 0.2471, 0.0000)
Pd (0.1669, 0.9160, 0.3337)
Pd (0.5000, 0.7529, 0.0000)

(4)
A geometry-optimized Li3Al2Pd4 structure, computed with PBE.

Output
total DFT energy (no corrections)	-4.497	eV/atom
E_form	-0.720	eV per atom
ρ	6.61	g/cm³

Cell: 4.2344 4.2349 8.0960 Å, 89.99 90.00 60.00°
Fractional positions:
Li (0.3334, 0.3333, 0.4477)
Li (0.0000, 0.0000, 0.0000)
Li (0.6666, 0.6667, 0.5523)
Al (0.3334, 0.3333, 0.7865)
Al (0.6666, 0.6667, 0.2135)
Pd (0.6667, 0.6666, 0.8902)
Pd (0.0000, 0.0000, 0.3199)
Pd (0.0000, 0.0000, 0.6801)
Pd (0.3333, 0.3334, 0.1098)

(5)
A geometry-optimized Li4AlPd5 structure, computed with PBE.

Output
total DFT energy (no corrections)	-4.298	eV/atom
E_form	-0.562	eV per atom
distance to the lowest polymorph of the same formula	0	meV per atom
ρ	7.18	g/cm³

Cell: 3.0147 3.0147 14.9427 Å, 90.00 90.00 90.00°
Fractional positions:
Li (0.0000, 0.0000, 0.2063)
Li (0.0000, 0.0000, 0.4014)
Li (0.0000, 0.0000, 0.5986)
Li (0.0000, 0.0000, 0.7937)
Al (0.0000, 0.0000, 0.0000)
Pd (0.5000, 0.5000, 0.0998)
Pd (0.5000, 0.5000, 0.3013)
Pd (0.5000, 0.5000, 0.5000)
Pd (0.5000, 0.5000, 0.6987)
Pd (0.5000, 0.5000, 0.9002)

(6)
A geometry-optimized LiAl3Pd6 structure, computed with PBE.

Output
total DFT energy (no corrections)	-5.162	eV/atom
E_form	-0.732	eV per atom
ρ	8.33	g/cm³

Cell: 4.4180 7.3486 9.4823 Å, 109.86 90.00 90.00°
Fractional positions:
Li (0.2500, 0.9513, 0.5899)
Li (0.7500, 0.0487, 0.4101)
Al (0.2500, 0.5407, 0.3884)
Al (0.7500, 0.4593, 0.6116)
Al (0.2500, 0.3622, 0.7820)
Al (0.7500, 0.6378, 0.2180)
Al (0.2500, 0.7840, 0.9873)
Al (0.7500, 0.2160, 0.0127)
Pd (0.2500, 0.4663, 0.0827)
Pd (0.7500, 0.5337, 0.9173)
Pd (0.2500, 0.1454, 0.1791)
Pd (0.7500, 0.8546, 0.8209)
Pd (0.2500, 0.6515, 0.6870)
Pd (0.7500, 0.3485, 0.3130)
Pd (0.2500, 0.2566, 0.4960)
Pd (0.7500, 0.7434, 0.5040)
Pd (0.2500, 0.8404, 0.3020)
Pd (0.7500, 0.1596, 0.6980)
Pd (0.2500, 0.0833, 0.8736)
Pd (0.7500, 0.9167, 0.1264)

(7)
A geometry-optimized LiAlPd4 structure, computed with PBE.

Output
total DFT energy (no corrections)	-4.762	eV/atom
E_form	-0.357	eV per atom
distance to the lowest polymorph of the same formula	0	meV per atom
ρ	8.01	g/cm³

Cell: 5.7634 5.7633 7.0026 Å, 113.77 113.77 90.58°
Fractional positions:
Li (0.1246, 0.8754, 0.7500)
Li (0.8754, 0.1246, 0.2500)
Al (0.3748, 0.6251, 0.2500)
Al (0.6252, 0.3749, 0.7500)
Pd (0.9997, 0.2486, 0.9992)
Pd (0.5002, 0.7515, 0.9986)
Pd (0.2485, 0.4998, 0.5014)
Pd (0.7515, 0.5002, 0.4986)
Pd (0.2486, 0.9997, 0.4992)
Pd (0.4998, 0.2485, 0.0014)
Pd (0.7514, 0.0003, 0.5008)
Pd (0.0003, 0.7514, 0.0008)

(8)
A geometry-optimized Li5AlPd6 structure, computed with PBE.

Output
total DFT energy (no corrections)	-4.283	eV/atom
E_form	-0.577	eV per atom
ρ	7.18	g/cm³

Cell: 4.2338 7.3723 7.3723 Å, 120.29 106.74 106.74°
Fractional positions:
Al (0.0000, 0.0000, 0.0000)
Pd (0.2486, 0.0838, 0.4130)
Pd (0.7514, 0.5870, 0.9162)
Pd (0.7475, 0.2472, 0.2472)
Pd (0.2525, 0.7528, 0.7528)
Pd (0.2486, 0.4130, 0.0838)
Pd (0.7514, 0.9162, 0.5870)
Li (0.5000, 0.1679, 0.8321)
Li (0.0000, 0.3327, 0.6673)
Li (0.5000, 0.5000, 0.5000)
Li (0.0000, 0.6673, 0.3327)
Li (0.5000, 0.8321, 0.1679)

Repeat the fourth record exactly.
A geometry-optimized Li3Al2Pd4 structure, computed with PBE.

Output
total DFT energy (no corrections)	-4.497	eV/atom
E_form	-0.720	eV per atom
ρ	6.61	g/cm³

Cell: 4.2344 4.2349 8.0960 Å, 89.99 90.00 60.00°
Fractional positions:
Li (0.3334, 0.3333, 0.4477)
Li (0.0000, 0.0000, 0.0000)
Li (0.6666, 0.6667, 0.5523)
Al (0.3334, 0.3333, 0.7865)
Al (0.6666, 0.6667, 0.2135)
Pd (0.6667, 0.6666, 0.8902)
Pd (0.0000, 0.0000, 0.3199)
Pd (0.0000, 0.0000, 0.6801)
Pd (0.3333, 0.3334, 0.1098)

- Look up the ρ of the seventh one.
  8.01 g/cm³

- The highest E_form belongs to which entry?
  LiAlPd4